Here is crystalline LiHPt2Pb at its relaxed geometry from Alexandria. Energies are from GGA-PBE.

Output
- Uncorrected energy: -4.49 eV per atom
- Theoretical density: 14.07 Mg/m³
- Magnetization: 0.000 μB/cell
- Crystal system: tetragonal

a = 4.0450 Å, b = 4.0450 Å, c = 4.3669 Å
α = 90.00°, β = 90.00°, γ = 90.00°
Fractional coordinates of all 5 atoms:
Li: 0.0000 0.0000 0.0000
H: 0.0000 0.0000 0.5000
Pt: 0.0000 0.5000 0.5000
Pt: 0.5000 0.0000 0.5000
Pb: 0.5000 0.5000 0.0000